Density functional theory data (PBE) for an optimized crystal structure of AlTeNO2.

Results
Symmetry = P4/mmm (123)
Formation energy without anion corrections = 0.11 eV per atom
Magnetization = 0.00 μB/f.u.

Cell lengths 4.017, 4.017, 4.158 Å; angles 90.00, 90.00, 90.00 degrees
Sites, in units of the cell vectors:
O 0.000 0.500 0.000
O 0.500 0.000 0.000
Te 0.000 0.000 0.000
Al 0.500 0.500 0.500
N 0.000 0.000 0.500